The following is a DFT calculation (PBE) of an optimized crystal structure of SrSm4Hg4.

Its size of the total moment is 0.0 μB/cell.

The space group is I4/m (No. 87) and the conventional cell measures 10.561, 10.561 and 5.441 Å, with angles of 90.00, 90.00 and 90.00 degrees. The asymmetric unit holds Sr at (0.000, 0.000, 0.000), Sm at (0.053, 0.661, 0.500) and Hg at (0.169, 0.742, 0.000).


The following is a DFT calculation (PBE) of an optimized crystal structure of Sr3SmHg4.

Its size of the total moment is 0.0 μB/cell.

The space group is P4/mmm (No. 123) and the conventional cell measures 3.926, 3.926 and 15.972 Å, with angles of 90.00, 90.00 and 90.00 degrees. The asymmetric unit holds Sr at (0.000, 0.000, 0.000), Sr at (0.000, 0.000, 0.257), Sm at (0.000, 0.000, 0.500), Hg at (0.500, 0.500, 0.129) and Hg at (0.500, 0.500, 0.390).


The following is a DFT calculation (PBE) of an optimized crystal structure of Sr2SmHg.

Its size of the total moment is 0.0 μB/cell. The value obtained for the distance to the lowest polymorph of the same formula is 0.00 eV/f.u.

The space group is P4/mmm (No. 123) and the conventional cell measures 3.848, 3.848 and 10.066 Å, with angles of 90.00, 90.00 and 90.00 degrees. The asymmetric unit holds Sr at (0.000, 0.000, 0.207), Sm at (0.500, 0.500, 0.500) and Hg at (0.500, 0.500, 0.000).


The following is a DFT calculation (PBE) of an optimized crystal structure of SrSm2Hg.

Its size of the total moment is 0.0 μB/cell. The value obtained for the distance to the lowest polymorph of the same formula is 0.58 eV/f.u.

The space group is R3m (No. 160, hexagonal axes) and the conventional cell measures 5.2772, 5.2772 and 18.2476 Å, with angles of 90.00, 90.00 and 120.00 degrees. The asymmetric unit holds Sr at (0.0000, 0.0000, 0.0000), Sm at (0.0000, 0.0000, 0.5531), Sm at (0.0000, 0.0000, 0.7886) and Hg at (0.0000, 0.0000, 0.1956).


The following is a DFT calculation (PBE) of an optimized crystal structure of SrSm2Hg.

Its size of the total moment is 0.0 μB/cell. The value obtained for the distance to the lowest polymorph of the same formula is 0.73 eV/f.u.

The space group is R-3m (No. 166, hexagonal axes) and the conventional cell measures 3.7667, 3.7667 and 35.7321 Å, with angles of 90.00, 90.00 and 120.00 degrees. The asymmetric unit holds Sr at (0.0000, 0.0000, 0.0000), Sm at (0.0000, 0.0000, 0.1015) and Hg at (0.0000, 0.0000, 0.5000).


The following is a DFT calculation (PBE) of an optimized crystal structure of Sr2Sm2Hg3.

Its size of the total moment is 0.0 μB/cell.

The space group is R-3m (No. 166, hexagonal axes) and the conventional cell measures 5.3634, 5.3634 and 27.7552 Å, with angles of 90.00, 90.00 and 120.00 degrees. The asymmetric unit holds Sr at (0.0000, 0.0000, 0.1249), Sm at (0.0000, 0.0000, 0.3729), Hg at (0.0000, 0.0000, 0.0000) and Hg at (0.0000, 0.0000, 0.2557).


The following is a DFT calculation (PBE) of an optimized crystal structure of Sr2SmHg.

Its size of the total moment is 1.6 μB/cell. The value obtained for the distance to the lowest polymorph of the same formula is 0.91 eV/f.u.

The space group is R-3m (No. 166, hexagonal axes) and the conventional cell measures 3.8735, 3.8735 and 36.7943 Å, with angles of 90.00, 90.00 and 120.00 degrees. The asymmetric unit holds Sr at (0.0000, 0.0000, 0.0995), Sm at (0.0000, 0.0000, 0.0000) and Hg at (0.0000, 0.0000, 0.5000).


The following is a DFT calculation (PBE) of an optimized crystal structure of Sr2SmHg.

Its size of the total moment is 0.5 μB/cell. The value obtained for the distance to the lowest polymorph of the same formula is 0.27 eV/f.u.

The space group is R3m (No. 160, hexagonal axes) and the conventional cell measures 4.0136, 4.0136 and 33.6371 Å, with angles of 90.00, 90.00 and 120.00 degrees. The asymmetric unit holds Sr at (0.0000, 0.0000, 0.0000), Sr at (0.0000, 0.0000, 0.1877), Sm at (0.0000, 0.0000, 0.4279) and Hg at (0.0000, 0.0000, 0.5936).


no.,formation enthalpy at 0 K (eV/atom),V (Å³ per atom),E (Ry per atom)
1,-0.262,33.7,-0.1970
2,-0.515,30.8,-0.1387
3,-0.135,37.3,-0.1640
4,0.027,36.7,-0.2079
5,0.064,36.6,-0.2051
6,-0.377,32.9,-0.1717
7,0.094,39.8,-0.1472
8,-0.067,39.1,-0.1590